Here is an optimized crystal structure of RbMn2CdF8 from Alexandria. Energies are from PBE+U.

Cell and atoms, written as CIF:
```
data_RbMn2CdF8
_symmetry_space_group_name_H-M 'P -1'
_symmetry_Int_Tables_number 2
_symmetry_space_group_name_Hall '-P 1'
_cell_length_a 5.280
_cell_length_b 5.314
_cell_length_c 6.956
_cell_angle_alpha 87.56
_cell_angle_beta 87.47
_cell_angle_gamma 87.08
loop_
_atom_site_label
_atom_site_fract_x
_atom_site_fract_y
_atom_site_fract_z
Rb1 0.000 0.000 0.000
Mn1 0.493 0.493 0.254
Cd1 0.000 0.000 0.500
F1 0.233 0.768 0.711
F2 0.246 0.779 0.287
F3 0.305 0.316 0.479
F4 0.334 0.351 0.982
```

Computed properties:
* E_tot: -5.0870 eV per atom
* DOS(E_F): 4.34 states/eV per cell
* spin magnetization: 9.0 μB/cell